*w*
VASP calculation (PBE) on crystalline AgHgSBr at its relaxed geometry.

## Properties
Its density of states at the Fermi level is 1.0 states/eV/cell.

Cell lengths 4.2933, 4.3083, 8.0618 Å; angles 74.30, 74.56, 60.11 degrees
Atoms (fractional coordinates):
Hg: 0.7429 0.9418 0.5724
Ag: 0.2896 0.5096 0.9113
Br: 0.4677 0.6843 0.3804
S: 0.6289 0.8525 0.8896



*x*
VASP calculation (PBE) on crystalline AgHgSBr at its relaxed geometry.

Cell lengths 4.6364, 9.7930, 9.9739 Å; angles 90.00, 90.00, 90.00 degrees
Atoms (fractional coordinates):
Ag: 0.0000 0.7909 0.9124
Ag: 0.0000 0.7909 0.5876
Ag: 0.0000 0.2091 0.4124
Ag: 0.0000 0.2091 0.0876
Hg: 0.5000 0.5000 0.0000
Hg: 0.5000 0.5000 0.5000
Hg: 0.5000 0.2294 0.7500
Hg: 0.5000 0.7706 0.2500
S: 0.5000 0.2542 0.9912
S: 0.5000 0.7458 0.0088
S: 0.5000 0.2542 0.5088
S: 0.5000 0.7458 0.4912
Br: 0.0000 0.9864 0.2500
Br: 0.0000 0.0136 0.7500
Br: 0.0000 0.4638 0.2500
Br: 0.0000 0.5362 0.7500



Most favorable structure: *x*. The second most favorable one is 0.132 eV/atom above it.



*w*
VASP calculation (PBE) on crystalline AgHgSe2Br at its relaxed geometry.

## Properties
Its density of states at the Fermi level is 5.1 states/eV/cell.

Cell lengths 5.1776, 5.1776, 5.2119 Å; angles 90.00, 90.00, 90.00 degrees
Atoms (fractional coordinates):
Ag: 0.0000 0.0000 0.0000
Hg: 0.5000 0.5000 0.5000
Se: 0.5000 0.0000 0.0000
Se: 0.0000 0.5000 0.0000
Br: 0.0000 0.0000 0.5000



*x*
VASP calculation (PBE) on crystalline AgHgSe2Br at its relaxed geometry.

## Properties
Its density of states at the Fermi level is 5.7 states/eV/cell.

Cell lengths 5.1206, 5.5830, 5.1206 Å; angles 90.00, 90.00, 90.00 degrees
Site moments in Bohr magnetons follow the coordinates.
Atoms (fractional coordinates):
Se: 0.5000 0.0000 0.0000  0.70
Se: 0.0000 0.0000 0.5000  0.61
Br: 0.5000 0.5000 0.5000  0.40
Ag: 0.0000 0.0000 0.0000  0.07
Hg: 0.0000 0.5000 0.0000  0.08



Most favorable structure: *w*. The second most favorable one is 0.038 eV/atom above it.



*w*
VASP calculation (PBE) on crystalline HoAg3Br6 at its relaxed geometry.

## Properties
Its density of states at the Fermi level is 0.0 states/eV/cell.

Cell lengths 7.3083, 7.1924, 11.1825 Å; angles 90.00, 91.67, 90.00 degrees
Atoms (fractional coordinates):
Br: 0.3852 0.6070 0.7313
Br: 0.6643 0.1725 0.9422
Br: 0.6568 0.1740 0.5871
Br: 0.8852 0.8930 0.2313
Br: 0.3357 0.8275 0.0578
Br: 0.1148 0.1070 0.7687
Br: 0.8357 0.6725 0.5578
Br: 0.8432 0.6740 0.9129
Br: 0.1643 0.3275 0.4422
Br: 0.6148 0.3930 0.2687
Br: 0.1568 0.3260 0.0871
Br: 0.3432 0.8260 0.4129
Ag: 0.5000 0.5000 0.0000
Ag: 0.5232 0.0211 0.2416
Ag: 0.9768 0.5211 0.2584
Ag: 0.0000 0.0000 0.5000
Ag: 0.0232 0.4789 0.7416
Ag: 0.4768 0.9789 0.7584
Ho: 0.5000 0.5000 0.5000
Ho: 0.0000 0.0000 0.0000



*x*
VASP calculation (PBE) on crystalline HoAg3Br6 at its relaxed geometry.

## Properties
Its density of states at the Fermi level is 0.0 states/eV/cell.

Cell lengths 7.5924, 7.7291, 8.2200 Å; angles 57.66, 60.38, 57.37 degrees
Atoms (fractional coordinates):
Ag: 0.5000 0.5000 0.5000
Ag: 0.5000 0.0000 0.5000
Ag: 0.5000 0.5000 0.0000
Br: 0.6221 0.8914 0.2052
Br: 0.8306 0.2640 0.2166
Br: 0.1694 0.7360 0.7834
Br: 0.7984 0.3604 0.7009
Br: 0.2016 0.6396 0.2991
Br: 0.3779 0.1086 0.7948
Ho: 0.0000 0.0000 0.0000



Most favorable structure: *w*. The second most favorable one is 0.012 eV/atom above it.



*w*
VASP calculation (PBE) on crystalline AgIBr at its relaxed geometry.

Cell lengths 4.3567, 5.9976, 8.1941 Å; angles 106.75, 90.78, 102.68 degrees
Atoms (fractional coordinates):
Br: 0.1728 0.6084 0.6787
Br: 0.6683 0.0417 0.4228
Ag: 0.1683 0.0606 0.2260
Ag: 0.6198 0.5573 0.4515
I: 0.5138 0.0318 0.9114
I: 0.9271 0.4750 0.1410



*x*
VASP calculation (PBE) on crystalline AgIBr at its relaxed geometry.

Cell lengths 4.4752, 6.5991, 7.9103 Å; angles 67.34, 89.42, 89.10 degrees
Atoms (fractional coordinates):
I: 0.7468 0.4795 0.1282
I: 0.9608 0.9166 0.9080
Br: 0.4746 0.9314 0.4262
Br: 0.1311 0.3545 0.6799
Ag: 0.6347 0.5145 0.4694
Ag: 0.9820 0.0286 0.2196



*y*
VASP calculation (PBE) on crystalline AgIBr at its relaxed geometry.

## Properties
Its density of states at the Fermi level is 3.5 states/eV/cell.

Cell lengths 4.0262, 3.2868, 22.2437 Å; angles 94.24, 46.99, 90.00 degrees
Atoms (fractional coordinates):
Br: 0.2758 0.8127 0.6254
Br: 0.7242 0.1873 0.3746
Ag: 0.0633 0.2746 0.5493
Ag: 0.9367 0.7254 0.4507
I: 0.1351 0.0663 0.1326
I: 0.8649 0.9337 0.8674



*z*
VASP calculation (PBE) on crystalline AgIBr at its relaxed geometry.

Cell lengths 4.5055, 6.6506, 8.4936 Å; angles 110.09, 98.47, 93.34 degrees
Atoms (fractional coordinates):
Ag: 0.1990 0.2543 0.4173
Ag: 0.8010 0.7457 0.5827
Br: 0.2398 0.6628 0.3840
Br: 0.7602 0.3372 0.6160
I: 0.9214 0.1048 0.8826
I: 0.0786 0.8952 0.1174



Most favorable structure: *z*. The second most favorable one is 0.010 eV/atom above it.



*w*
VASP calculation (PBE) on crystalline AgIBr at its relaxed geometry.

## Properties
Its density of states at the Fermi level is 2.9 states/eV/cell.

Cell lengths 3.9883, 8.1835, 6.7398 Å; angles 81.37, 107.21, 90.00 degrees
Atoms (fractional coordinates):
Br: 0.3789 0.6376 0.7578
Br: 0.6211 0.3624 0.2422
I: 0.1346 0.8588 0.2691
I: 0.8654 0.1412 0.7309
Ag: 0.0000 0.5000 0.0000
Ag: 0.5000 0.0000 0.0000



*x*
VASP calculation (PBE) on crystalline AgIBr at its relaxed geometry.

## Properties
Its density of states at the Fermi level is 5.3 states/eV/cell.

Cell lengths 4.1762, 4.1762, 5.9752 Å; angles 90.00, 90.00, 120.00 degrees
Atoms (fractional coordinates):
Ag: 0.6667 0.3333 0.3455
I: 0.0000 0.0000 0.0628
Br: 0.3333 0.6667 0.5917



*y*
VASP calculation (PBE) on crystalline AgIBr at its relaxed geometry.

Cell lengths 4.4751, 6.3786, 8.1389 Å; angles 70.89, 88.07, 84.15 degrees
Atoms (fractional coordinates):
Ag: 0.6918 0.8951 0.3048
Ag: 0.0550 0.1701 0.5586
Br: 0.5450 0.2956 0.3618
Br: 0.8880 0.7369 0.6427
I: 0.0647 0.2971 0.8620
I: 0.2196 0.8442 0.1014



Most favorable structure: *y*. The second most favorable one is 0.032 eV/atom above it.



*w*
VASP calculation (PBE) on crystalline Ag2IBr6 at its relaxed geometry.

## Properties
Its density of states at the Fermi level is 4.0 states/eV/cell.

Cell lengths 8.4963, 9.0613, 9.0613 Å; angles 83.56, 87.77, 87.77 degrees
Atoms (fractional coordinates):
Br: 0.4204 0.3980 0.4006
Br: 0.8056 0.2520 0.0165
Br: 0.1944 0.7480 0.9835
Br: 0.3056 0.0165 0.2520
Br: 0.6971 0.6577 0.0635
Br: 0.8029 0.9365 0.3423
Br: 0.3029 0.3423 0.9365
Br: 0.6944 0.9835 0.7480
Br: 0.5796 0.6020 0.5994
Br: 0.1971 0.0635 0.6577
Br: 0.9204 0.4006 0.3980
Br: 0.0796 0.5994 0.6020
Ag: 0.1678 0.2462 0.3499
Ag: 0.8322 0.7538 0.6501
Ag: 0.3322 0.6501 0.7538
Ag: 0.6678 0.3499 0.2462
I: 0.2500 0.0552 0.9448
I: 0.7500 0.9448 0.0552



*x*
VASP calculation (PBE) on crystalline Ag2IBr6 at its relaxed geometry.

## Properties
Its density of states at the Fermi level is 8.6 states/eV/cell.

Cell lengths 7.0379, 10.8667, 10.8667 Å; angles 72.92, 119.47, 119.47 degrees
Atoms (fractional coordinates):
Br: 0.1268 0.2188 0.0597
Br: 0.6428 0.3721 0.8723
Br: 0.3739 0.2814 0.4406
Br: 0.1261 0.5594 0.7186
Br: 0.8739 0.4406 0.2814
Br: 0.1428 0.8723 0.3721
Br: 0.6261 0.7186 0.5594
Br: 0.3572 0.6279 0.1277
Br: 0.3732 0.9403 0.7812
Br: 0.6268 0.0597 0.2188
Br: 0.8732 0.7812 0.9403
Br: 0.8572 0.1277 0.6279
Ag: 0.5002 0.1872 0.3130
Ag: 0.4998 0.8128 0.6870
Ag: 0.0002 0.3130 0.1872
Ag: 0.9998 0.6870 0.8128
I: 0.7500 0.2498 0.7502
I: 0.2500 0.7502 0.2498



Most favorable structure: *w*. The second most favorable one is 0.007 eV/atom above it.